[1]
DFT (GGA-PBE) results for an optimized crystal structure of NaVAg3.

abc: 5.122 5.122 5.122
angles: 90.00 90.00 90.00
Atoms (fractional coordinates):
Na: 0.000 0.000 0.000
V: 0.500 0.500 0.500
Ag: 0.000 0.500 0.500
Ag: 0.500 0.000 0.500
Ag: 0.500 0.500 0.000

Properties
The space group is No. 221. The value obtained for the energy of formation is 0.8202 eV per atom.

[2]
DFT (GGA-PBE) results for an optimized crystal structure of Ag2PdO3.

abc: 5.319 5.319 6.011
angles: 90.00 90.00 98.55
Atoms (fractional coordinates):
Ag: 0.205 0.205 0.000
Ag: 0.205 0.205 0.500
Ag: 0.795 0.795 0.000
Ag: 0.795 0.795 0.500
Pd: 0.282 0.718 0.750
Pd: 0.718 0.282 0.250
O: 0.028 0.397 0.750
O: 0.397 0.028 0.250
O: 0.476 0.524 0.250
O: 0.524 0.476 0.750
O: 0.603 0.972 0.750
O: 0.972 0.603 0.250

Properties
The space group is No. 63. As for the final energy: -49.38 eV/cell.

[3]
DFT (GGA-PBE) results for an optimized crystal structure of NdHg2Au.

abc: 5.121 5.121 5.121
angles: 60.00 60.00 60.00
Atoms (fractional coordinates):
Nd: 0.000 0.000 0.000
Hg: 0.250 0.250 0.250
Hg: 0.500 0.500 0.500
Au: 0.750 0.750 0.750

Properties
The space group is No. 216. The value obtained for the energy of formation is -0.4688 eV per atom.

Question: Which formula does entry 2 have?
Answer: Ag2PdO3